Computed, not measured: an optimized crystal structure of Ni2OsN2 at the PBE level of DFT.

Formation energy without anion corrections (eV/atom): 1.17
Offset from the most stable computed form (meV/atom): 0

```
data_Ni2OsN2
_chemical_formula_sum 'Ni4 Os2 N4'
_cell_length_a 2.8661
_cell_length_b 2.8661
_cell_length_c 12.3117
_cell_angle_alpha 90.00
_cell_angle_beta 90.00
_cell_angle_gamma 90.00
_symmetry_space_group_name_H-M 'I 4/m m m'
_symmetry_Int_Tables_number 139
_symmetry_space_group_name_Hall '-I 4 2'
loop_
_atom_site_label
_atom_site_fract_x
_atom_site_fract_y
_atom_site_fract_z
Ni1 0.0000 0.0000 0.1372
Os1 0.0000 0.0000 0.5000
N1 0.0000 0.5000 0.2500
```